# 1
A PBEsol-optimized structure of LaNiSb. Source: the Alexandria database, functional meta-GGA SCAN.

Structure (POSCAR):
```
LaNiSb
1.0
4.2089 0.0000 0.0000
0.0000 4.3485 0.0000
0.0000 -2.1743 3.7659
La Sb Ni
1 1 1
direct
0.9959 0.0000 0.0000
0.4956 0.6667 0.3333
0.5086 0.3333 0.6667
```

Computed properties:
Symmetry: P3m1
Formation energy without anion corrections: -275 kJ/mol of formula units

# 2
A PBEsol-optimized structure of CsTl2RhSe. Source: the Alexandria database, functional meta-GGA SCAN.

Structure (POSCAR):
```
CsTl2RhSe
1.0
4.8315 0.0000 0.0000
0.0000 6.2263 0.0000
0.0000 0.0000 6.2263
Cs Rh Se Tl
1 1 1 2
direct
0.0000 0.0000 0.0000
0.5000 0.0000 0.0000
0.5000 0.5000 0.5000
0.0000 0.0000 0.5000
0.0000 0.5000 0.0000
```

Computed properties:
Symmetry: P4/mmm
Formation energy without anion corrections: 542 kJ/mol of formula units

# 3
A PBEsol-optimized structure of Y2In2Tc. Source: the Alexandria database, functional meta-GGA SCAN.

Structure (POSCAR):
```
Y2In2Tc
1.0
-2.7873 0.5260 -2.9165
-0.7123 -4.0054 -0.0417
-3.2874 2.5837 6.4453
In Y Tc
2 2 1
direct
0.5903 0.5903 0.1806
0.4097 0.4097 0.8194
0.2500 0.7500 0.5000
0.7500 0.2500 0.5000
0.0000 0.0000 0.0000
```

Computed properties:
DFT total energy: -154.717 eV/f.u.
Symmetry: I4/mmm

# 4
A PBEsol-optimized structure of TcSb2As. Source: the Alexandria database, functional meta-GGA SCAN.

Structure (POSCAR):
```
TcSb2As
1.0
3.3257 0.0000 0.0000
0.0000 4.8251 0.0000
0.0000 0.0000 4.8251
Sb Tc As
2 1 1
direct
0.0000 0.5000 0.0000
0.0000 0.0000 0.5000
0.5000 0.5000 0.5000
0.5000 0.0000 0.0000
```

Computed properties:
Symmetry: P4/mmm
Energy above the most stable polymorph in this dataset: 2.21 eV per formula unit
Formation energy without anion corrections: 241 kJ/mol of formula units

# 5
A PBEsol-optimized structure of HfHS2Br. Source: the Alexandria database, functional meta-GGA SCAN.

Structure (POSCAR):
```
HfHS2Br
1.0
3.9373 0.0000 0.0000
0.0000 3.9373 0.0000
0.0000 0.0000 4.7411
S Hf H Br
2 1 1 1
direct
0.0000 0.5000 0.0000
0.5000 0.0000 0.0000
0.5000 0.5000 0.5000
0.0000 0.0000 0.0000
0.0000 0.0000 0.5000
```

Computed properties:
DFT total energy: -103.036 eV/f.u.
Symmetry: P4/mmm

# 6
A PBEsol-optimized structure of KRb3Zn. Source: the Alexandria database, functional meta-GGA SCAN.

Structure (POSCAR):
```
KRb3Zn
1.0
-2.9421 -5.3898 -5.0540
6.7605 0.2314 -4.1823
2.9814 -5.8435 4.4961
K Rb Zn
1 3 1
direct
0.0000 0.0000 0.0000
0.5000 0.0000 0.0000
0.0000 0.0000 0.5000
0.0000 0.5000 0.0000
0.5000 0.5000 0.5000
```

Computed properties:
DFT total energy: -81.671 eV/f.u.
Symmetry: Pm-3m

# 7
A PBEsol-optimized structure of HfGaRu2Se. Source: the Alexandria database, functional meta-GGA SCAN.

Structure (POSCAR):
```
HfGaRu2Se
1.0
-2.1169 2.8724 -3.1885
1.9641 -2.5126 -3.5675
-3.9853 -3.0152 -0.0705
Hf Ru Ga Se
1 2 1 1
direct
0.0000 0.0000 0.0000
0.5000 0.0000 0.0000
0.0000 0.5000 0.0000
0.5000 0.5000 0.5000
0.0000 0.0000 0.5000
```

Computed properties:
Symmetry: P4/mmm
Formation energy without anion corrections: 523 kJ/mol of formula units

# 8
A PBEsol-optimized structure of Ba2Zn2TeP2O11. Source: the Alexandria database, functional meta-GGA SCAN.

Structure (POSCAR):
```
Ba2Zn2TeP2O11
1.0
-6.0409 2.8832 2.0509
-2.4517 -8.0047 -5.0430
0.4592 -8.6832 13.5594
O Ba Te Zn P
44 8 4 8 8
direct
0.6467 0.6543 0.5188
0.2809 0.7473 0.4814
0.6232 0.6272 0.6745
0.0353 0.7895 0.8159
0.6407 0.0345 0.6333
0.3822 0.7752 0.8468
0.2831 0.7816 0.6991
0.0996 0.1789 0.3888
0.8706 0.9388 0.2806
0.7423 0.9872 0.4626
0.3822 0.2752 0.6532
0.8936 0.5571 0.5948
0.2577 0.5128 0.9626
0.1294 0.5612 0.7806
0.8706 0.4388 0.2194
0.3768 0.8728 0.1745
0.7191 0.2527 0.5186
0.3593 0.9655 0.3667
0.2831 0.2816 0.8009
0.8936 0.0571 0.9052
0.9004 0.8211 0.6112
0.3533 0.3457 0.4812
0.2809 0.2473 0.0186
0.1294 0.0612 0.7194
0.6232 0.1272 0.8255
0.7169 0.7184 0.1991
0.3593 0.4655 0.1333
0.3768 0.3728 0.3255
0.6178 0.2248 0.1532
0.9004 0.3211 0.8888
0.7169 0.2184 0.3009
0.9647 0.2105 0.1841
0.6178 0.7248 0.3468
0.9647 0.7105 0.3159
0.1064 0.4429 0.4052
0.2577 0.0128 0.5374
0.7423 0.4872 0.0374
0.0353 0.2895 0.6841
0.7191 0.7527 0.9814
0.3533 0.8457 0.0188
0.1064 0.9429 0.0948
0.0996 0.6789 0.1112
0.6407 0.5345 0.8667
0.6467 0.1543 0.9812
0.2581 0.0362 0.9061
0.2581 0.5362 0.5939
0.7419 0.4638 0.4061
0.7419 0.9638 0.0939
0.7223 0.3873 0.7393
0.2777 0.1127 0.2393
0.7223 0.8873 0.7607
0.2777 0.6127 0.2607
0.8375 0.6110 0.9425
0.8375 0.1110 0.5575
0.1625 0.8890 0.4425
0.1625 0.3890 0.0575
0.8203 0.0818 0.3574
0.5629 0.3009 0.0443
0.4371 0.1991 0.5443
0.5629 0.8009 0.4557
0.8203 0.5818 0.1426
0.4371 0.6991 0.9557
0.1797 0.9182 0.6426
0.1797 0.4182 0.8574
0.7705 0.6646 0.6010
0.2295 0.8354 0.1010
0.2022 0.7258 0.7867
0.7978 0.2742 0.2133
0.7978 0.7742 0.2867
0.7705 0.1646 0.8990
0.2022 0.2258 0.7133
0.2295 0.3354 0.3990
```

Computed properties:
Symmetry: P2_1/c
Formation energy without anion corrections: -4245 kJ/mol of formula units

# 9
A PBEsol-optimized structure of ReNiTe2. Source: the Alexandria database, functional meta-GGA SCAN.

Structure (POSCAR):
```
ReNiTe2
1.0
-0.6132 1.3033 -2.7833
-0.4313 -3.0982 0.1904
-7.8871 1.2404 2.3186
Re Ni Te
1 1 2
direct
0.5000 0.5000 0.0000
0.5000 0.5000 0.5000
0.0000 0.0000 0.7397
0.0000 0.0000 0.2603
```

Computed properties:
Symmetry: Cmmm
Energy above the most stable polymorph in this dataset: 3.46 eV per formula unit
Formation energy without anion corrections: 377 kJ/mol of formula units

# 10
A PBEsol-optimized structure of NdZnRh. Source: the Alexandria database, functional meta-GGA SCAN.

Structure (POSCAR):
```
NdZnRh
1.0
4.0713 0.0000 0.0000
0.0000 6.9689 0.0000
0.0000 0.0000 8.1100
Rh Nd Zn
4 4 4
direct
0.7500 0.7397 0.3807
0.7500 0.2397 0.1193
0.2500 0.2603 0.6193
0.2500 0.7603 0.8807
0.2500 0.5357 0.1873
0.7500 0.4643 0.8127
0.7500 0.9643 0.6873
0.2500 0.0357 0.3127
0.2500 0.6381 0.5636
0.2500 0.1381 0.9364
0.7500 0.8619 0.0636
0.7500 0.3619 0.4364
```

Computed properties:
DFT total energy: -93.037 eV/f.u.
Symmetry: Pnma

# 11
A PBEsol-optimized structure of NiRh2Au. Source: the Alexandria database, functional meta-GGA SCAN.

Structure (POSCAR):
```
NiRh2Au
1.0
-1.3465 -0.9949 2.1407
-1.3221 -2.7237 -2.0976
4.3191 -3.0847 1.2831
Ni Rh Au
1 2 1
direct
0.5000 0.5000 0.5000
0.0000 0.0000 0.2696
0.0000 0.0000 0.7304
0.5000 0.5000 0.0000
```

Computed properties:
Symmetry: Pmmm
Energy above the most stable polymorph in this dataset: 0.26 eV per formula unit

# 12
A PBEsol-optimized structure of LiInOs2. Source: the Alexandria database, functional meta-GGA SCAN.

Structure (POSCAR):
```
LiInOs2
1.0
-1.2885 -0.7257 2.4731
-1.6317 -3.7292 -1.9443
3.7545 -2.3094 1.2785
Li Os In
1 2 1
direct
0.0000 0.5000 0.5000
0.5000 0.5000 0.0000
0.0000 0.0000 0.0000
0.5000 0.0000 0.5000
```

Computed properties:
DFT total energy: -178.181 eV/f.u.
Symmetry: Pmmm

# 13
A PBEsol-optimized structure of MgZrSc2. Source: the Alexandria database, functional meta-GGA SCAN.

Structure (POSCAR):
```
MgZrSc2
1.0
3.1732 0.0000 0.0000
0.0000 3.1732 0.0000
0.0000 0.0000 9.0358
Sc Mg Zr
2 1 1
direct
0.0000 0.0000 0.9975
0.5000 0.5000 0.2594
0.5000 0.5000 0.7468
0.0000 0.0000 0.4964
```

Computed properties:
DFT total energy: -64.112 eV/f.u.
Symmetry: P4mm

# 14
A PBEsol-optimized structure of Sr3V5S11. Source: the Alexandria database, functional meta-GGA SCAN.

Structure (POSCAR):
```
Sr3V5S11
1.0
-4.1048 2.7728 6.8182
3.7446 -0.2884 7.5802
6.8378 22.0156 -0.6635
S V Sr
44 20 12
direct
0.0553 0.8935 0.0639
0.2410 0.6891 0.5686
0.7590 0.3109 0.4314
0.8439 0.3122 0.2500
0.5173 0.2631 0.5625
0.7884 0.1366 0.8124
0.6196 0.0290 0.4306
0.2012 0.1543 0.4339
0.9488 0.1065 0.5639
0.1510 0.4157 0.3125
0.7804 0.7369 0.0625
0.1561 0.6878 0.7500
0.3733 0.6432 0.3156
0.4333 0.4157 0.1875
0.5667 0.5843 0.8125
0.0166 0.3568 0.8156
0.6267 0.3568 0.6844
0.6770 0.5495 0.5563
0.3555 0.8457 0.9339
0.0948 0.4045 0.5554
0.3804 0.9710 0.5694
0.9251 0.8634 0.3124
0.4827 0.7369 0.4375
0.0512 0.8935 0.4361
0.5007 0.4045 0.9446
0.9052 0.5955 0.4446
0.6445 0.1543 0.0661
0.4993 0.5955 0.0554
0.9301 0.3109 0.0686
0.2196 0.2631 0.9375
0.3230 0.4505 0.4437
0.6487 0.9710 0.9306
0.0699 0.6891 0.9314
0.9447 0.1065 0.9361
0.2265 0.4505 0.0563
0.3513 0.0290 0.0694
0.9834 0.6432 0.1844
0.5127 0.9745 0.2500
0.4873 0.0255 0.7500
0.7988 0.8457 0.5661
0.7735 0.5495 0.9437
0.2116 0.8634 0.1876
0.8490 0.5843 0.6875
0.0749 0.1366 0.6876
0.4569 0.1772 0.0000
0.9355 0.3160 0.4973
0.5000 0.5000 0.5000
0.0000 0.5000 0.0000
0.8479 0.9170 0.9983
0.8786 0.3640 0.6256
0.8207 0.3586 0.7500
0.7485 0.3160 0.0027
0.1521 0.0830 0.0017
0.2351 0.9170 0.5017
0.7649 0.0830 0.4983
0.3659 0.1772 0.5000
0.1793 0.6414 0.2500
0.5431 0.8228 0.0000
0.0645 0.6840 0.5027
0.1214 0.6360 0.3744
0.7574 0.3640 0.8744
0.2426 0.6360 0.1256
0.6341 0.8228 0.5000
0.2515 0.6840 0.9973
0.8524 0.9565 0.6804
0.7956 0.7557 0.8212
0.3814 0.3582 0.8248
0.1476 0.0435 0.3196
0.1911 0.9565 0.8196
0.6186 0.6418 0.1752
0.5514 0.2443 0.3212
0.4486 0.7557 0.6788
0.8089 0.0435 0.1804
0.2604 0.3582 0.6752
0.2044 0.2443 0.1788
0.7396 0.6418 0.3248
```

Computed properties:
Symmetry: C2/c
Formation energy without anion corrections: -2761 kJ/mol of formula units

# 15
A PBEsol-optimized structure of Ca2HgPt. Source: the Alexandria database, functional meta-GGA SCAN.

Structure (POSCAR):
```
Ca2HgPt
1.0
3.6191 0.0000 0.0000
0.0000 3.6191 0.0000
0.0000 0.0000 7.7851
Pt Ca Hg
1 2 1
direct
0.5000 0.5000 0.7197
0.0000 0.0000 0.9206
0.5000 0.5000 0.3226
0.0000 0.0000 0.5371
```

Computed properties:
DFT total energy: -159.820 eV/f.u.
Symmetry: P4mm

# 16
A PBEsol-optimized structure of KY2Pb. Source: the Alexandria database, functional meta-GGA SCAN.

Structure (POSCAR):
```
KY2Pb
1.0
4.7379 0.0000 0.0000
0.0000 4.7379 0.0000
-2.3689 -2.3689 5.3198
Y K Pb
2 1 1
direct
0.7500 0.2500 0.5000
0.0000 0.0000 0.0000
0.5000 0.5000 0.0000
0.2500 0.7500 0.5000
```

Computed properties:
DFT total energy: -139.896 eV/f.u.
Symmetry: I-4m2

# 17
A PBEsol-optimized structure of GaSi2BBr. Source: the Alexandria database, functional meta-GGA SCAN.

Structure (POSCAR):
```
GaSi2BBr
1.0
4.7041 0.0000 0.0000
0.0000 4.7041 0.0000
0.0000 0.0000 5.1217
B Si Ga Br
1 2 1 1
direct
0.5000 0.5000 0.5000
0.0000 0.5000 0.0000
0.5000 0.0000 0.0000
0.0000 0.0000 0.0000
0.0000 0.0000 0.5000
```

Computed properties:
Symmetry: P4/mmm
Formation energy without anion corrections: 817 kJ/mol of formula units

# 18
A PBEsol-optimized structure of Sc2PbS4. Source: the Alexandria database, functional meta-GGA SCAN.

Structure (POSCAR):
```
Sc2PbS4
1.0
-0.0601 3.6938 0.4393
-4.3093 1.1988 -10.6691
-12.6004 -0.7997 4.9996
S Pb Sc
16 4 8
direct
0.7500 0.7966 0.1577
0.2500 0.2034 0.8423
0.2500 0.4111 0.5734
0.2500 0.5312 0.2158
0.2500 0.1234 0.5295
0.7500 0.5889 0.4266
0.7500 0.9688 0.7158
0.7500 0.8766 0.4705
0.2500 0.0312 0.2842
0.7500 0.4688 0.7842
0.2500 0.7034 0.6577
0.2500 0.6234 0.9705
0.2500 0.9111 0.9266
0.7500 0.3766 0.0295
0.7500 0.0889 0.0734
0.7500 0.2966 0.3423
0.2500 0.7600 0.3279
0.7500 0.7400 0.8279
0.7500 0.2400 0.6721
0.2500 0.2600 0.1721
0.2500 0.4176 0.9042
0.7500 0.5570 0.6103
0.2500 0.9176 0.5958
0.7500 0.0570 0.8897
0.7500 0.0824 0.4042
0.7500 0.5824 0.0958
0.2500 0.4430 0.3897
0.2500 0.9430 0.1103
```

Computed properties:
Symmetry: Pnma
Formation energy without anion corrections: -1166 kJ/mol of formula units

# 19
A PBEsol-optimized structure of CaZn2Cd2. Source: the Alexandria database, functional meta-GGA SCAN.

Structure (POSCAR):
```
CaZn2Cd2
1.0
-1.8970 1.2424 3.5966
2.7381 -2.3450 2.2542
3.1934 5.0946 -2.5887
Cd Zn Ca
2 2 1
direct
0.2500 0.7500 0.5000
0.7500 0.2500 0.5000
0.3968 0.3968 0.7936
0.6032 0.6032 0.2064
0.0000 0.0000 0.0000
```

Computed properties:
DFT total energy: -98.846 eV/f.u.
Symmetry: I4/mmm